BaLuAg, optimized geometry, DFT GGA-PBE; crystal system = tetragonal; energy of formation = -0.0765 eV/atom; SG = No. 107
1.0
3.8252 0.0000 0.0000
0.0000 3.8252 0.0000
-1.9126 -1.9126 6.7981
Lu Ag Ba
1 1 1
direct
0.2893 0.2893 0.5787 Lu
0.6947 0.6947 0.3894 Ag
0.0160 0.0160 0.0319 Ba

Nd2TlRu, optimized geometry, DFT GGA-PBE; crystal system = cubic; energy above the lowest structure with this stoichiometry = 128 meV/atom; energy of formation = -0.1419 eV/atom; SG = No. 225
1.0
5.2525 0.0000 0.0000
2.6263 4.5488 0.0000
2.6263 1.5163 4.2887
Tl Nd Ru
1 2 1
direct
0.0000 0.0000 0.0000 Tl
0.7500 0.7500 0.7500 Nd
0.2500 0.2500 0.2500 Nd
0.5000 0.5000 0.5000 Ru

Zn2Cd2Pd, optimized geometry, DFT GGA-PBE; crystal system = tetragonal; energy above the lowest structure with this stoichiometry = 28 meV/atom; energy of formation = -0.0269 eV/atom; SG = No. 139
1.0
-3.0732 -1.5736 -0.5941
0.6485 -2.2502 2.6058
-4.5908 2.8246 5.9367
Zn Pd Cd
2 1 2
direct
0.7500 0.2500 0.5000 Zn
0.2500 0.7500 0.5000 Zn
0.0000 0.0000 0.0000 Pd
0.5962 0.5962 0.8077 Cd
0.4038 0.4038 0.1923 Cd

Sr2Ge3Au5, optimized geometry, DFT GGA-PBE; crystal system = orthorhombic; energy above the lowest structure with this stoichiometry = 0 meV/atom; energy of formation = -0.4990 eV/atom; SG = No. 72
1.0
6.0768 0.0000 2.2990
2.5466 8.2728 2.4494
0.0703 0.0971 8.9950
Ge Sr Au
6 4 10
direct
0.2500 0.0000 0.0000 Ge
0.6249 0.5022 0.2480 Ge
0.7500 0.0000 0.0000 Ge
0.8751 0.7520 0.4978 Ge
0.1249 0.2480 0.5022 Ge
0.3751 0.4978 0.7520 Ge
0.8707 0.3827 0.8759 Sr
0.1293 0.6173 0.1241 Sr
0.6293 0.1241 0.6173 Sr
0.3707 0.8759 0.3827 Sr
0.6114 0.7505 0.0266 Au
0.1114 0.0266 0.7505 Au
0.8886 0.9734 0.2495 Au
0.0053 0.7447 0.7447 Au
0.3886 0.2495 0.9734 Au
0.2500 0.5000 0.5000 Au
0.9947 0.2553 0.2553 Au
0.4947 0.2553 0.2553 Au
0.7500 0.5000 0.5000 Au
0.5053 0.7447 0.7447 Au

H3ClF, optimized geometry, DFT GGA-PBE; crystal system = cubic; energy above the lowest structure with this stoichiometry = 0 meV/atom; SG = No. 221
1.0
-3.0422 1.2417 -0.0766
-0.4483 -1.2830 -2.9926
-1.1605 -2.7595 1.3569
H Cl F
3 1 1
direct
0.0000 0.5000 0.0000 H
0.5000 0.0000 0.0000 H
0.0000 0.0000 0.5000 H
0.0000 0.0000 0.0000 Cl
0.5000 0.5000 0.5000 F

MnInPbBr2, optimized geometry, DFT GGA-PBE; DFT total energy = -3.446 eV/atom; crystal system = tetragonal; SG = No. 123
1.0
-4.1501 1.4622 3.3005
-3.8835 -2.9151 -3.5916
0.7235 -4.5901 2.9432
Br In Mn Pb
2 1 1 1
direct
0.0000 0.0000 0.5000 Br
0.5000 0.0000 0.0000 Br
0.0000 0.0000 0.0000 In
0.5000 0.5000 0.5000 Mn
0.0000 0.5000 0.0000 Pb

In states/eV/f.u., the Fermi-level density of states values for the records above are, in order, 2.36; 2.84; 1.49; 3.89; 0.72; 2.83.